No. 1
# PrSn2PdAu

A relaxed PrSn2PdAu crystal (PBE, OQMD).

Lattice parameters (Å, degrees): 4.6651 4.6528 10.8579 90.00 90.60 90.00
Closest atoms and distances in Å follow each position.
Fractional positions:
Pr  0.2422  0.2500  0.2461  4 Au 3.43-3.66, 8 Sn 3.46-3.61, 4 Pd 3.58-3.60
Pr  0.7578  0.7500  0.7539  4 Au 3.43-3.66, 8 Sn 3.46-3.61, 4 Pd 3.58-3.60
Sn  0.2514  0.7500  0.4997  4 Pd 2.68-2.69
Sn  0.2715  0.2500  0.8606  1 Pd 2.59, 4 Au 2.78-2.79
Sn  0.7285  0.7500  0.1394  1 Pd 2.59, 4 Au 2.78-2.79
Sn  0.7486  0.2500  0.5003  4 Pd 2.68-2.69
Pd  0.2508  0.2500  0.6225  5 Sn 2.59-2.69
Pd  0.7492  0.7500  0.3775  5 Sn 2.59-2.69
Au  0.2267  0.7500  0.9998  4 Sn 2.78-2.79
Au  0.7733  0.2500  0.0002  4 Sn 2.78-2.79

Output
- space group = P2_1/m, No. 11
- total DFT energy (no corrections) (eV per atom) = -4.9421


No. 2
# PrSn2PdAu

A relaxed PrSn2PdAu crystal (PBE, OQMD).

Lattice parameters (Å, degrees): 4.5915 4.5915 11.1535 90.00 90.00 90.00
Closest atoms and distances in Å follow each position.
Fractional positions:
Pr  0.2500  0.2500  0.2427  8 Sn 3.44-3.67, 4 Au 3.55, 4 Pd 3.56
Pr  0.7500  0.7500  0.7573  8 Sn 3.44-3.67, 4 Au 3.55, 4 Pd 3.56
Sn  0.2500  0.2500  0.8588  1 Pd 2.58, 4 Au 2.78
Sn  0.2500  0.7500  0.5000  4 Pd 2.70
Sn  0.7500  0.2500  0.5000  4 Pd 2.70
Sn  0.7500  0.7500  0.1412  1 Pd 2.58, 4 Au 2.78
Pd  0.2500  0.2500  0.6273  5 Sn 2.58-2.70
Pd  0.7500  0.7500  0.3727  5 Sn 2.58-2.70
Au  0.2500  0.7500  0.0000  4 Sn 2.78
Au  0.7500  0.2500  0.0000  4 Sn 2.78

Output
- space group = P4/nmm, No. 129
- total DFT energy (no corrections) (eV per atom) = -4.9417


No. 3
# Pr2Sn2PdAu3

A relaxed Pr2Sn2PdAu3 crystal (PBE, OQMD).

Lattice parameters (Å, degrees): 4.7756 4.7756 9.4895 90.00 90.00 120.00
Closest atoms and distances in Å follow each position.
Fractional positions:
Pr  0.0000  0.0000  0.0000  7 Au 3.08-3.37, 1 Pd 3.13
Pr  0.3333  0.6667  0.4993  5 Au 3.08-3.36, 3 Pd 3.20
Sn  0.6667  0.3333  0.2504  6 Au 2.93
Sn  0.6667  0.3333  0.7292  3 Pd 2.81, 3 Au 2.93
Pd  0.0000  0.0000  0.6701  3 Sn 2.81, 1 Au 2.99, 1 Pr 3.13
Au  0.0000  0.0000  0.3555  3 Sn 2.93, 1 Pd 2.99, 3 Pr 3.08
Au  0.3333  0.6667  0.1450  3 Sn 2.93, 1 Au 2.95, 3 Pr 3.08
Au  0.3333  0.6667  0.8344  3 Sn 2.93, 1 Au 2.95, 3 Pd 3.17, 4 Pr 3.17-3.18

Output
- space group = P3m1, No. 156
- total DFT energy (no corrections) (eV per atom) = -4.7950


No. 4
# PdPtAu

A relaxed PdPtAu crystal (PBE, OQMD).

Lattice parameters (Å, degrees): 4.3573 4.3573 4.3573 60.00 60.00 60.00
Closest atoms and distances in Å follow each position.
Fractional positions:
Pd  0.0000  0.0000  0.0000  4 Pt 2.67
Pt  0.7500  0.7500  0.7500  4 Au 2.67, 4 Pd 2.67
Au  0.5000  0.5000  0.5000  4 Pt 2.67

Output
- space group = F-43m, No. 216
- formation energy (eV/atom) = 0.352
- energy relative to the lowest polymorph listed for this composition (eV/atom) = 0.000


No. 5
# Pd2Pt2Au

A relaxed Pd2Pt2Au crystal (PBE, OQMD).

Lattice parameters (Å, degrees): 6.6346 6.6346 6.6346 146.67 146.67 47.86
Closest atoms and distances in Å follow each position.
Fractional positions:
Pd  0.2500  0.7500  0.5000  4 Pt 2.63, 4 Pd 2.69
Pd  0.7500  0.2500  0.5000  4 Pt 2.63, 4 Pd 2.69
Pt  0.1009  0.1009  0.0000  1 Pt 2.45, 4 Pd 2.63
Pt  0.8991  0.8991  0.0000  1 Pt 2.45, 4 Pd 2.63
Au  0.5000  0.5000  0.0000  8 Pt 2.96

Output
- space group = I4/mmm, No. 139
- formation energy (eV/atom) = 0.352
- energy relative to the lowest polymorph listed for this composition (eV/atom) = 0.025


No. 6
# Pu3PdAu2

A relaxed Pu3PdAu2 crystal (PBE, OQMD).

Lattice parameters (Å, degrees): 3.8484 3.8484 9.2751 90.00 90.00 90.00
Closest atoms and distances in Å follow each position.
Fractional positions:
Pu  0.0000  0.0000  0.0000  2 Pu 3.14, 8 Au 3.16
Pu  0.0000  0.0000  0.3386  2 Pu 2.99-3.14, 4 Pd 3.11, 4 Au 3.13
Pu  0.0000  0.0000  0.6614  2 Pu 2.99-3.14, 4 Pd 3.11, 4 Au 3.13
Pd  0.5000  0.5000  0.5000  2 Au 3.04, 8 Pu 3.11
Au  0.5000  0.5000  0.1723  1 Pd 3.04, 8 Pu 3.13-3.16, 1 Au 3.20
Au  0.5000  0.5000  0.8277  1 Pd 3.04, 8 Pu 3.13-3.16, 1 Au 3.20

Output
- space group = P4/mmm, No. 123
- formation energy (eV/atom) = -0.513


No. 7
# PuPd2Au4

A relaxed PuPd2Au4 crystal (PBE, OQMD).

Lattice parameters (Å, degrees): 5.6683 5.6683 5.6683 103.33 103.33 122.61
Closest atoms and distances in Å follow each position.
Fractional positions:
Pu  0.0000  0.0000  0.0000  4 Au 3.00
Pd  0.2500  0.7500  0.5000  2 Pd 2.72, 8 Au 2.88
Pd  0.7500  0.2500  0.5000  2 Pd 2.72, 8 Au 2.88
Au  0.3015  0.3015  0.6030  4 Au 2.79-2.91, 4 Pd 2.88, 1 Pu 3.00
Au  0.3015  0.6985  0.0000  4 Au 2.79-2.91, 4 Pd 2.88, 1 Pu 3.00
Au  0.6985  0.3015  0.0000  4 Au 2.79-2.91, 4 Pd 2.88, 1 Pu 3.00
Au  0.6985  0.6985  0.3970  4 Au 2.79-2.91, 4 Pd 2.88, 1 Pu 3.00

Output
- space group = I4/mmm, No. 139
- formation energy (eV/atom) = -0.011


No. 8
# RbPdAu

A relaxed RbPdAu crystal (PBE, OQMD).

Lattice parameters (Å, degrees): 4.9276 4.9276 4.9276 60.00 60.00 60.00
Closest atoms and distances in Å follow each position.
Fractional positions:
Rb  0.0000  0.0000  0.0000  4 Pd 3.02
Pd  0.7500  0.7500  0.7500  4 Rb 3.02, 4 Au 3.02
Au  0.5000  0.5000  0.5000  4 Pd 3.02

Output
- space group = F-43m, No. 216
- energy relative to the lowest polymorph listed for this composition (eV/atom) = 0.000